Model P:
First-principles (PBE-GGA) data for a geometry-optimized MgSbC structure, as listed in Alexandria.

Output
Magnetic moment   0.00 μB per cell

a b c (Å): 3.429 6.244 6.603
angles (deg): 102.00 97.85 91.04
Element x y z (fractional)
Mg  0.015  0.408  0.214
Mg  0.985  0.592  0.786
Sb  0.034  0.903  0.185
Sb  0.966  0.097  0.815
C  0.411  0.526  0.578
C  0.589  0.474  0.422

***

Model Q:
First-principles (PBE-GGA) data for a geometry-optimized MgSbC structure, as listed in Alexandria.

Output
Magnetic moment   0.00 μB per cell

a b c (Å): 3.376 3.376 12.587
angles (deg): 97.36 97.36 59.15
Element x y z (fractional)
Mg  0.215  0.215  0.144
Mg  0.785  0.785  0.856
Sb  0.058  0.058  0.658
Sb  0.942  0.942  0.342
C  0.483  0.483  0.949
C  0.517  0.517  0.051

***

Energy relative to the most stable one, in eV/atom: model P 0.044; model Q 0.000

***

Model P:
First-principles (PBE-GGA) data for a geometry-optimized MgSc3C structure, as listed in Alexandria.

Output
Magnetic moment   0.92 μB per cell

a b c (Å): 3.312 4.592 6.617
angles (deg): 90.00 90.00 90.00
Element x y z (fractional)
Mg  0.000  0.000  0.000
Sc  0.000  0.000  0.500
Sc  0.500  0.500  0.265
Sc  0.500  0.500  0.735
C  0.000  0.500  0.500

***

Model Q:
First-principles (PBE-GGA) data for a geometry-optimized MgSc3C structure, as listed in Alexandria.

Output
Magnetic moment   0.00 μB per cell

a b c (Å): 5.794 5.794 8.988
angles (deg): 112.80 112.80 47.22
Element x y z (fractional)
Mg  0.127  0.127  0.443
Mg  0.873  0.873  0.557
Sc  0.137  0.137  0.936
Sc  0.370  0.370  0.310
Sc  0.392  0.392  0.820
Sc  0.608  0.608  0.180
Sc  0.630  0.630  0.690
Sc  0.863  0.863  0.064
C  0.378  0.378  0.071
C  0.622  0.622  0.929

***

Energy relative to the most stable one, in eV/atom: model P 0.000; model Q 0.019

***

Model P:
First-principles (PBE-GGA) data for a geometry-optimized MgSc3C structure, as listed in Alexandria.

Output
Magnetic moment   0.00 μB per cell

a b c (Å): 3.774 3.774 18.056
angles (deg): 90.00 90.00 120.00
Element x y z (fractional)
Mg  0.000  0.000  0.000
Mg  0.000  0.000  0.500
Sc  0.000  0.000  0.250
Sc  0.000  0.000  0.750
Sc  0.333  0.667  0.127
Sc  0.333  0.667  0.373
Sc  0.667  0.333  0.627
Sc  0.667  0.333  0.873
C  0.333  0.667  0.250
C  0.667  0.333  0.750

***

Model Q:
First-principles (PBE-GGA) data for a geometry-optimized MgSc3C structure, as listed in Alexandria.

Output
Magnetic moment   0.11 μB per cell

a b c (Å): 6.546 6.546 5.608
angles (deg): 90.11 90.11 60.00
Element x y z (fractional)
Mg  0.167  0.167  0.250
Mg  0.833  0.833  0.750
Sc  0.191  0.655  0.250
Sc  0.345  0.345  0.749
Sc  0.345  0.809  0.750
Sc  0.655  0.191  0.250
Sc  0.655  0.655  0.251
Sc  0.809  0.345  0.750
C  0.500  0.500  0.000
C  0.500  0.500  0.500

***

Energy relative to the most stable one, in eV/atom: model P 0.245; model Q 0.000

***

Model P:
First-principles (PBE-GGA) data for a geometry-optimized MgSc3C structure, as listed in Alexandria.

Output
Magnetic moment   1.37 μB per cell

a b c (Å): 3.211 8.624 8.624
angles (deg): 42.06 90.00 90.00
Element x y z (fractional)
Mg  0.000  0.000  0.000
Sc  0.000  0.436  0.917
Sc  0.000  0.917  0.436
Sc  0.500  0.823  0.823
C  0.500  0.688  0.688

***

Model Q:
First-principles (PBE-GGA) data for a geometry-optimized MgSc3C structure, as listed in Alexandria.

Output
Magnetic moment   0.75 μB per cell

a b c (Å): 14.526 14.526 14.526
angles (deg): 162.78 162.78 24.44
Element x y z (fractional)
Mg  0.000  0.000  0.000
Mg  0.750  0.250  0.500
Sc  0.330  0.330  0.000
Sc  0.351  0.109  0.242
Sc  0.670  0.670  0.000
Sc  0.866  0.109  0.758
Sc  0.891  0.134  0.242
Sc  0.891  0.649  0.758
C  0.131  0.631  0.500
C  0.369  0.869  0.500

***

Energy relative to the most stable one, in eV/atom: model P 0.000; model Q 0.710

***

Model P:
First-principles (PBE-GGA) data for a geometry-optimized MgSc3C structure, as listed in Alexandria.

Output
Magnetic moment   0.00 μB per cell

a b c (Å): 8.474 8.474 8.474
angles (deg): 157.86 107.21 77.16
Element x y z (fractional)
Mg  0.156  0.000  0.156
Mg  0.844  0.000  0.844
Sc  0.168  0.668  0.500
Sc  0.194  0.346  0.849
Sc  0.497  0.346  0.151
Sc  0.503  0.654  0.849
Sc  0.806  0.654  0.151
Sc  0.832  0.332  0.500
C  0.330  0.830  0.500
C  0.670  0.170  0.500

***

Model Q:
First-principles (PBE-GGA) data for a geometry-optimized MgSc3C structure, as listed in Alexandria.

Output
Magnetic moment   0.00 μB per cell

a b c (Å): 6.602 6.602 6.602
angles (deg): 124.36 106.97 98.26
Element x y z (fractional)
Mg  0.000  0.000  0.000
Mg  0.500  0.000  0.500
Sc  0.000  0.000  0.500
Sc  0.000  0.500  0.000
Sc  0.216  0.646  0.570
Sc  0.424  0.354  0.070
Sc  0.576  0.646  0.930
Sc  0.784  0.354  0.430
C  0.198  0.448  0.750
C  0.802  0.552  0.250

***

Model R:
First-principles (PBE-GGA) data for a geometry-optimized MgSc3C structure, as listed in Alexandria.

Output
Magnetic moment   3.52 μB per cell

a b c (Å): 8.590 5.939 8.502
angles (deg): 90.00 112.29 90.00
Element x y z (fractional)
Mg  0.081  0.188  0.080
Mg  0.081  0.312  0.580
Mg  0.919  0.688  0.420
Mg  0.919  0.812  0.920
Sc  0.179  0.626  0.261
Sc  0.179  0.874  0.761
Sc  0.318  0.077  0.453
Sc  0.318  0.423  0.953
Sc  0.439  0.571  0.646
Sc  0.439  0.929  0.146
Sc  0.561  0.071  0.854
Sc  0.561  0.429  0.354
Sc  0.682  0.577  0.047
Sc  0.682  0.923  0.547
Sc  0.821  0.126  0.239
Sc  0.821  0.374  0.739
C  0.431  0.743  0.896
C  0.431  0.757  0.396
C  0.569  0.243  0.604
C  0.569  0.257  0.104

***

Energy relative to the most stable one, in eV/atom: model P 0.076; model Q 0.315; model R 0.000

***

Model P:
First-principles (PBE-GGA) data for a geometry-optimized MgScC3 structure, as listed in Alexandria.

Output
Magnetic moment   0.00 μB per cell

a b c (Å): 3.999 3.999 3.999
angles (deg): 90.00 90.00 90.00
Element x y z (fractional)
Mg  0.000  0.000  0.000
Sc  0.500  0.500  0.500
C  0.000  0.000  0.500
C  0.000  0.500  0.000
C  0.500  0.000  0.000

***

Model Q:
First-principles (PBE-GGA) data for a geometry-optimized MgScC3 structure, as listed in Alexandria.

Output
Magnetic moment   0.00 μB per cell

a b c (Å): 4.202 4.202 4.202
angles (deg): 90.00 90.00 90.00
Element x y z (fractional)
Mg  0.000  0.000  0.000
Sc  0.500  0.500  0.500
C  0.000  0.500  0.500
C  0.500  0.000  0.500
C  0.500  0.500  0.000

***

Energy relative to the most stable one, in eV/atom: model P 0.021; model Q 0.000